*1*
# Sm6Sn2C

A relaxed structure of Sm6Sn2C (GGA-PBE, Alexandria).

The structure belongs to space group Amm2 (No. 38); the cell edges are 3.824, 14.946 and 8.633 Å and the angles 90.00°, 90.00° and 90.00°. Symmetry generates all atoms from Sm at (0.000, 0.000, 0.000), Sm at (0.000, 0.110, 0.669), Sm at (0.500, 0.000, 0.369), Sm at (0.500, 0.205, 0.984), Sn at (0.000, 0.167, 0.279) and C at (0.500, 0.000, 0.780).

The value obtained for the magnetic moment is 2.753 μB/f.u.



*2*
# Sm6Sn2C

A relaxed structure of Sm6Sn2C (GGA-PBE, Alexandria).

The structure belongs to space group I4/mmm (No. 139); the cell edges are 7.056, 7.056 and 9.999 Å and the angles 90.00°, 90.00° and 90.00°. Symmetry generates all atoms from Sm at (0.000, 0.000, 0.246), Sm at (0.246, 0.246, 0.000), Sn at (0.000, 0.500, 0.250) and C at (0.000, 0.000, 0.000).

The value obtained for the magnetic moment is 0.000 μB/f.u.



Most stable structure among those shown: *2*.